The following is a GGA-PBE calculation of crystalline AlAgO3 at its relaxed geometry, from the Alexandria database.

Computed properties:
size of the total moment	0.0	μB per formula unit
energy relative to the elements, uncorrected	171	meV/atom
symmetry	Pm-3m
Fermi-level density of states	1.428	states/eV/f.u.

Structure (POSCAR):
```
AlAgO3
1.0
3.9572 0.0000 0.0000
0.0000 3.9572 0.0000
0.0000 0.0000 3.9572
O Ag Al
3 1 1
direct
0.5000 0.0000 0.0000 O
0.0000 0.5000 0.0000 O
0.0000 0.0000 0.5000 O
0.0000 0.0000 0.0000 Ag
0.5000 0.5000 0.5000 Al
```